{
  "formula": "Sr2Hg6Pb",
  "functional": "GGA-PBE",
  "state": "optimized geometry",
  "lattice_angstrom": [[3.757, 0.000, 0.000], [0.000, 7.712, -4.453], [0.000, 0.000, 8.905]],
  "species": ["Sr", "Sr", "Hg", "Hg", "Hg", "Hg", "Hg", "Hg", "Pb"],
  "fractional_positions": [[0.000, 0.333, 0.667], [0.000, 0.667, 0.333], [0.500, 0.330, 0.330], [0.500, 0.670, 0.670], [0.500, 0.000, 0.670], [0.500, 0.670, 0.000], [0.500, 0.330, 0.000], [0.500, 0.000, 0.330], [0.000, 0.000, 0.000]],
  "n_ef_per_ev_atom": 0.573,
  "polymorph_energy_kj_per_mol_atoms": 1.4,
  "total_energy_ev_per_atom": -1.317,
  "spacegroup": "P6/mmm",
  "formation_enthalpy_0k_ev_per_atom": -0.33
}